Below is crystalline YO2F at its relaxed geometry, with properties calculated at the GGA-PBE level.

**Crystal system**: monoclinic
**Uncorrected formation energy**: -2.286 eV per atom
**Mass density**: 3978 kg/m3

Lattice parameters (Å, degrees): 3.727 5.800 5.961 65.02 90.00 90.00
Site moments in Bohr magnetons follow the coordinates.
Element x y z (fractional)
O 0.500 0.079 0.531  0.94
F 0.000 0.692 0.908  0.03
Y 0.500 0.639 0.689  0.03
F 0.000 0.382 0.698  0.02
Y 0.000 0.365 0.319  -0.03
O 0.000 0.917 0.413  1.02
O 0.500 0.598 0.331  0.55
O 0.500 0.329 0.112  0.79

=====

Below is crystalline YO2F2 at its relaxed geometry, with properties calculated at the GGA-PBE level.

**Crystal system**: tetragonal
**Uncorrected formation energy**: -1.226 eV per atom
**Mass density**: 4761 kg/m3

Lattice parameters (Å, degrees): 3.660 3.660 4.138 90.00 90.00 90.00
Site moments in Bohr magnetons follow the coordinates.
Element x y z (fractional)
F 0.000 0.000 0.000  0.07
O 0.000 0.500 0.000  0.14
F 0.000 0.000 0.500  0.00
Y 0.500 0.500 0.500  -0.01
O 0.500 0.000 0.000  0.14

=====

Below is crystalline YOF at its relaxed geometry, with properties calculated at the GGA-PBE level.

**Crystal system**: cubic
**Uncorrected formation energy**: -3.800 eV per atom
**Mass density**: 5118 kg/m3

Lattice parameters (Å, degrees): 3.845 3.845 3.845 60.00 60.00 60.00
Element x y z (fractional)
Y 0.000 0.000 0.000
O 0.250 0.250 0.250
F 0.750 0.750 0.750

=====

Below is crystalline YO2F at its relaxed geometry, with properties calculated at the GGA-PBE level.

**Crystal system**: tetragonal
**Uncorrected formation energy**: -2.231 eV per atom
**Mass density**: 4396 kg/m3

Lattice parameters (Å, degrees): 3.608 3.608 8.509 77.76 77.76 90.00
Element x y z (fractional)
F 0.500 0.500 0.000
F 0.250 0.750 0.500
O 0.940 0.625 0.250
Y 0.750 0.250 0.500
O 0.810 0.125 0.250
Y 0.000 0.000 0.000
O 0.875 0.060 0.750
O 0.375 0.190 0.750

=====

Below is crystalline YZnOF2 at its relaxed geometry, with properties calculated at the GGA-PBE level.

**Crystal system**: tetragonal
**Uncorrected formation energy**: -2.096 eV per atom
**Mass density**: 5213 kg/m3

Lattice parameters (Å, degrees): 4.141 4.141 3.871 90.00 90.00 90.00
Element x y z (fractional)
O 0.000 0.000 0.500
Zn 0.000 0.000 0.000
F 0.000 0.500 0.000
F 0.500 0.000 0.000
Y 0.500 0.500 0.500

=====

Below is crystalline YZnOF2 at its relaxed geometry, with properties calculated at the GGA-PBE level.

**Crystal system**: tetragonal
**Uncorrected formation energy**: -2.475 eV per atom
**Mass density**: 4010 kg/m3

Lattice parameters (Å, degrees): 4.386 4.386 4.484 90.00 90.00 90.00
Element x y z (fractional)
F 0.000 0.500 0.000
O 0.000 0.000 0.500
F 0.500 0.000 0.000
Y 0.000 0.000 0.000
Zn 0.500 0.500 0.500